VASP calculation (PBE with a Hubbard U) on Ba3Mn2BiO8 after structural relaxation.

Summary:
Density   5.8 Mg/m³
E_tot   -90.381 eV for the cell shown

Unit cell a=6.129 b=6.129 c=7.618 alpha=90.00 beta=90.00 gamma=120.00
Positions (direct):
Ba  0.000  0.000  0.000
Ba  0.333  0.667  0.655
Ba  0.667  0.333  0.345
Mn  0.333  0.667  0.208
Mn  0.667  0.333  0.792
Bi  0.000  0.000  0.500
O  0.170  0.340  0.314
O  0.170  0.830  0.314
O  0.333  0.667  0.976
O  0.340  0.170  0.686
O  0.660  0.830  0.314
O  0.667  0.333  0.024
O  0.830  0.170  0.686
O  0.830  0.660  0.686